# 1
This record from Alexandria via LeMat-Bulk describes a relaxed structure of Hg2PtAu. The functional is PBE.

**Formation energy from the elements**: 0.17 eV/atom
**Relative energy among the computed polymorphs**: 128 meV per atom

Lattice parameters (Å, degrees): 6.7436 6.7436 6.7436 90.00 90.00 90.00
Space group F-43m (No. 216)
Asymmetric unit:
Hg  0.0000  0.0000  0.0000 x4
Hg  0.2500  0.2500  0.2500 x4
Pt  0.2500  0.2500  0.7500 x4
Au  0.0000  0.0000  0.5000 x4

# 2
This record from Alexandria via LeMat-Bulk describes a relaxed structure of NdSm4Te5. The functional is PBE.

**ΔE_f (raw)**: -1.390 eV/atom

Lattice parameters (Å, degrees): 4.4442 4.4442 31.6811 90.00 90.00 90.00
Space group I4/mmm (No. 139)
Asymmetric unit:
Nd  0.0000  0.0000  0.0000 x2
Sm  0.0000  0.0000  0.2047 x4
Sm  0.0000  0.0000  0.4030 x4
Te  0.0000  0.0000  0.1024 x4
Te  0.0000  0.0000  0.3031 x4
Te  0.0000  0.0000  0.5000 x2

# 3
This record from Alexandria via LeMat-Bulk describes a relaxed structure of PmScPtPb. The functional is PBE.

**Formation energy from the elements**: -0.65 eV/atom

Lattice parameters (Å, degrees): 7.2557 7.2557 7.2557 90.00 90.00 90.00
Space group F-43m (No. 216)
Asymmetric unit:
Pm  0.0000  0.0000  0.0000 x4
Sc  0.0000  0.0000  0.5000 x4
Pt  0.2500  0.2500  0.7500 x4
Pb  0.2500  0.2500  0.2500 x4

# 4
This record from Alexandria via LeMat-Bulk describes a relaxed structure of CaPd7Au12. The functional is PBE.

**Formation energy from the elements**: 0.35 eV/atom

Lattice parameters (Å, degrees): 9.7395 9.7395 9.7395 90.00 90.00 90.00
Space group Im-3 (No. 204)
Asymmetric unit:
Ca  0.0000  0.0000  0.0000 x2
Pd  0.0000  0.0000  0.5000 x6
Pd  0.2500  0.2500  0.2500 x8
Au  0.0000  0.1479  0.2685 x24

# 5
This record from Alexandria via LeMat-Bulk describes a relaxed structure of NaTi2Al2. The functional is PBE.

**Formation energy from the elements**: 0.05 eV/atom
**Relative energy among the computed polymorphs**: 69 meV per atom

Lattice parameters (Å, degrees): 7.9777 7.9777 2.9617 90.00 90.00 90.00
Space group P4/mbm (No. 127)
Asymmetric unit:
Na  0.0000  0.0000  0.0000 x2
Ti  0.1679  0.3321  0.5000 x4
Al  0.1246  0.6246  0.0000 x4

# 6
This record from Alexandria via LeMat-Bulk describes a relaxed structure of Tl3Pb7Au4. The functional is PBE.

**Formation energy from the elements**: -0.02 eV/atom

Lattice parameters (Å, degrees): 18.2223 4.8983 10.8793 90.00 124.03 90.00
Space group C2/m (No. 12)
Asymmetric unit:
Tl  0.0000  0.0000  0.0000 x2
Tl  0.1821  0.5000  0.6847 x4
Pb  0.0000  0.0000  0.5000 x2
Pb  0.0009  0.5000  0.2804 x4
Pb  0.1642  0.0000  0.4297 x4
Pb  0.1932  0.5000  0.0460 x4
Au  0.1182  0.0000  0.8559 x4
Au  0.1591  0.5000  0.2708 x4

# 7
This record from Alexandria via LeMat-Bulk describes a relaxed structure of ZrScCu. The functional is PBE.

**Formation energy from the elements**: -0.03 eV/atom
**Relative energy among the computed polymorphs**: 122 meV per atom

Lattice parameters (Å, degrees): 4.2194 4.2194 6.7096 90.00 90.00 90.00
Space group P4/nmm (No. 129, origin choice 2)
Asymmetric unit:
Zr  0.2500  0.2500  0.1255 x2
Sc  0.2500  0.7500  0.5000 x2
Cu  0.2500  0.2500  0.7532 x2

# 8
This record from Alexandria via LeMat-Bulk describes a relaxed structure of Ba2TlRh3O8. The functional is PBE.

**ΔE_f (raw)**: -1.244 eV/atom

Lattice parameters (Å, degrees): 6.5087 6.5087 18.4018 90.00 90.00 120.00
Space group R3m (No. 160, hexagonal axes)
Asymmetric unit:
Ba  0.0000  0.0000  0.0000 x3
Ba  0.0000  0.0000  0.3784 x3
Tl  0.0000  0.0000  0.6178 x3
Rh  0.9998  0.4999  0.5018 x9
O  0.0000  0.0000  0.2253 x3
O  0.0000  0.0000  0.7811 x3
O  0.0439  0.5220  0.7797 x9
O  0.1868  0.3737  0.5557 x9